Density functional theory data (PBE) for KCdAs2 after structural relaxation.

- DFT formation energy (kJ per mole of atoms) = 0.2

Cell and atoms, written as CIF:
```
data_KCdAs2
_chemical_formula_sum 'K1 Cd1 As2'
_cell_length_a 3.022
_cell_length_b 4.809
_cell_length_c 7.256
_cell_angle_alpha 90.00
_cell_angle_beta 90.61
_cell_angle_gamma 90.00
_space_group_name_H-M_alt 'P 1 m 1'
_space_group_IT_number 6
_space_group_name_Hall 'P -2y'
loop_
_atom_site_label
_atom_site_type_symbol
_atom_site_fract_x
_atom_site_fract_y
_atom_site_fract_z
K1 K 0.000 0.000 0.000
Cd1 Cd 0.487 0.500 0.679
As1 As 0.500 0.500 0.276
As2 As 0.525 0.000 0.436
```